NbV2BiS (PBE, relaxed); uncorrected formation energy = 0.114 eV/atom; symmetry = P4/mmm (123); uncorrected energy = -35.7 eV/f.u.
1.0
-1.338 -3.268 2.605
-0.981 -2.592 -3.755
4.076 -1.624 0.056
V Bi S Nb
2 1 1 1
Cartesian
2.038 -0.812 0.028
-0.669 -1.634 1.303
0.878 -3.742 -0.547
0.000 0.000 0.000
-0.491 -1.296 -1.878